VASP calculation (GGA-PBE) on an optimized crystal structure of Pm2Ho7Er.

Results
Its density is 8.25 Mg/m³. The calculation puts the energy relative to the lowest polymorph listed for this composition at 140 meV/atom. The density of states at the Fermi level is 1.495 states/eV/atom. As for the symmetry: Cmmm, No. 65. Its final energy is -4.45 eV per atom.

Cell lengths 3.502, 14.705, 14.705 Å; angles 154.62, 90.00, 90.00 degrees
Sites, in units of the cell vectors:
Ho: 0.500 0.656 0.852
Ho: 0.500 0.500 0.500
Ho: 0.500 0.344 0.148
Ho: 0.000 0.815 0.185
Ho: 0.500 0.852 0.656
Ho: 0.500 0.148 0.344
Ho: 0.000 0.185 0.815
Er: 0.000 0.000 0.000
Pm: 0.500 0.708 0.292
Pm: 0.500 0.292 0.708